## Sr2CdAg2 (meta-GGA SCAN)

Data for a crystal of Sr2CdAg2 relaxed with PBEsol.

## Properties
Total magnetic moment ... 0.0 μB per formula unit
Energy ... -27.84 eV per atom
Mass density ... 6.06 g cm⁻³

Cell lengths 7.9014, 7.9014, 4.4176 Å; angles 90.00, 90.00, 90.00 degrees
Space group P4/mbm (No. 127)
Unique sites:
1 Sr 0.1771 0.3229 0.0000 (multiplicity 4)
2 Cd 0.0000 0.0000 0.5000 (multiplicity 2)
3 Ag 0.1242 0.6242 0.5000 (multiplicity 4)

## TaCdAg2 (meta-GGA SCAN)

Data for a crystal of TaCdAg2 relaxed with PBEsol.

## Properties
Total magnetic moment ... 0.0 μB per formula unit
Energy ... -39.76 eV per atom
Mass density ... 12.07 g cm⁻³

Cell lengths 2.8896, 2.8896, 29.0485 Å; angles 90.00, 90.00, 120.00 degrees
Space group R-3m (No. 166, hexagonal axes)
Unique sites:
1 Ta 0.0000 0.0000 0.0000 (multiplicity 3)
2 Cd 0.0000 0.0000 0.5000 (multiplicity 3)
3 Ag 0.0000 0.0000 0.2508 (multiplicity 6)

## TaCdAg (meta-GGA SCAN)

Data for a crystal of TaCdAg relaxed with PBEsol.

## Properties
Total magnetic moment ... 0.0 μB per formula unit
Energy ... -42.57 eV per atom
Mass density ... 12.59 g cm⁻³

Cell lengths 2.8961, 2.8961, 12.6186 Å; angles 90.00, 90.00, 90.00 degrees
Space group I4mm (No. 107)
Unique sites:
1 Ta 0.0000 0.0000 0.0000 (multiplicity 2)
2 Cd 0.0000 0.0000 0.6721 (multiplicity 2)
3 Ag 0.0000 0.0000 0.3385 (multiplicity 2)

We obtain density of states at the Fermi level values of 5.3; 6.3; 2.6 states/eV/cell for the records listed above, in that order.